The following is a DFT calculation (PBE) of crystalline ZrAlMo2 at its relaxed geometry.

```
ZrAlMo2
1.0
-2.6858 6.4531 -2.3373
1.1060 -2.0701 -6.9865
-3.2674 1.1320 -4.7401
Mo Al Zr
4 2 2
Cartesian
-2.2786 3.8684 -3.4507
-0.5400 -0.0152 -5.9122
-3.0106 2.4320 -7.2562
-3.8653 4.7448 -11.5087
-0.7899 2.1915 -4.6619
-1.4757 0.6267 -8.1942
0.0000 0.0000 0.0000
-3.3716 4.8883 -5.8696
```

Values from the calculation:
total magnetization = 0.0 μB/f.u.
mass density = 7.03 g cm⁻³
uncorrected energy = -7.95 eV per atom

---

The following is a DFT calculation (PBE) of crystalline ZrAl4Mo at its relaxed geometry.

```
ZrAl4Mo
1.0
-3.6875 -2.8438 2.2368
-3.9512 2.3131 2.3929
-4.7324 -0.1795 -2.0641
Zr Al Mo
1 4 1
Cartesian
0.0000 0.0000 0.0000
-6.4834 -1.6909 2.0821
-7.0069 -0.3561 -0.0727
-6.6156 0.8927 2.1603
-4.6360 -0.2662 0.9614
-9.2782 -0.5327 1.9242
```

Values from the calculation:
total magnetization = 0.0 μB/f.u.
mass density = 5.03 g cm⁻³
uncorrected energy = -5.98 eV per atom

---

The following is a DFT calculation (PBE) of crystalline NaAlN3 at its relaxed geometry.

```
NaAlN3
1.0
-3.9348 -0.6265 0.8874
0.6764 -4.0224 0.1595
0.8499 0.3008 3.9812
Na Al N
1 1 3
Cartesian
0.0000 0.0000 0.0000
-1.2042 -2.1740 2.5140
0.3382 -2.0112 0.0798
0.4250 0.1504 1.9906
-1.9674 -0.3133 0.4437
```

Values from the calculation:
formation energy from raw total energies = 13.02 eV/f.u.
total magnetization = 5.1 μB/f.u.
mass density = 2.25 g cm⁻³

---

The following is a DFT calculation (PBE) of crystalline NaAl2N at its relaxed geometry.

```
NaAl2N
1.0
6.0720 0.0000 0.0000
0.0000 6.0720 0.0000
3.0360 3.0360 4.0624
Na Al N
2 4 2
Cartesian
0.0000 0.0000 0.0000
6.0720 3.0360 2.0312
3.6966 1.5180 1.0156
2.3754 4.5540 1.0156
4.5540 5.4114 3.0468
7.5900 6.7326 3.0468
3.0360 3.0360 0.0000
3.0360 6.0720 2.0312
```

Values from the calculation:
formation energy from raw total energies = 0.11 eV/f.u.
total magnetization = 0.0 μB/f.u.
mass density = 2.02 g cm⁻³

---

The following is a DFT calculation (PBE) of crystalline NaAl3N at its relaxed geometry.

```
NaAl3N
1.0
-4.0840 -2.9413 0.4250
2.7764 -3.5184 2.3289
-1.0601 2.1167 4.4617
Na Al N
1 3 1
Cartesian
0.0000 0.0000 0.0000
1.3882 -1.7592 1.1645
-0.5301 1.0584 2.2308
-2.0420 -1.4707 0.2125
-1.1839 -2.1715 3.6078
```

Values from the calculation:
formation energy from raw total energies = 10.70 eV/f.u.
energy above the lowest structure with this stoichiometry = 1838 meV/atom
total magnetization = 0.0 μB/f.u.
mass density = 1.52 g cm⁻³

---

The following is a DFT calculation (PBE) of crystalline NaAlN2 at its relaxed geometry.

```
NaAlN2
1.0
1.7959 0.0000 6.2984
-0.8980 1.5553 6.2984
-0.8980 -1.5553 6.2984
Na Al N
1 1 2
Cartesian
0.0000 0.0000 0.0000
0.0000 0.0000 9.4477
0.0000 0.0000 16.6787
0.0000 0.0000 2.2166
```

Values from the calculation:
formation energy from raw total energies = 0.96 eV/f.u.
total magnetization = 2.0 μB/f.u.
mass density = 2.45 g cm⁻³